Below is an optimized crystal structure of TlMoAsF6, with properties calculated at the PBE+U level.

Cell lengths 5.379, 5.846, 6.024 Å; angles 87.82, 66.80, 89.05 degrees
Element x y z (fractional)
Tl (0.000, 0.000, 0.000)
Mo (0.660, 0.475, 0.689)
As (0.325, 0.519, 0.312)
F (0.057, 0.316, 0.569)
F (0.298, 0.645, 0.794)
F (0.487, 0.193, 0.908)
F (0.584, 0.329, 0.392)
F (0.690, 0.614, 0.995)
F (0.916, 0.716, 0.430)

Output
SG = P1 (1)
crystal system = triclinic
final energy = -43.24 eV for the cell shown